Computed, not measured: crystalline Pr2PSe at its relaxed geometry at the GGA-PBE level of DFT.

Calculated values
N(E_F) ... 2.337 states/eV per cell
Formation energy (no corrections) ... -1.764 eV/atom

The structure in CIF format:
```
data_Pr2PSe
_chemical_formula_sum 'Pr4 P2 Se2'
_space_group_name_H-M_alt 'P m m n'
_space_group_IT_number 59
_cell_length_a 4.212
_cell_length_b 5.981
_cell_length_c 8.556
_cell_angle_alpha 90.00
_cell_angle_beta 90.00
_cell_angle_gamma 90.00
loop_
_space_group_symop_operation_xyz
'x,y,z'
'-x,-y,-z'
'-x+1/2,-y+1/2,z'
'x+1/2,y+1/2,-z'
'x+1/2,-y,-z'
'-x+1/2,y,z'
'-x,y+1/2,-z'
'x,-y+1/2,z'
loop_
_atom_site_label
_atom_site_type_symbol
_atom_site_fract_x
_atom_site_fract_y
_atom_site_fract_z
_atom_site_occupancy
Pr1 Pr 0.250 0.250 0.112 1
Pr2 Pr 0.250 0.250 0.645 1
P1 P 0.250 0.750 0.125 1
Se1 Se 0.250 0.750 0.621 1
```